i:
{
  "formula": "TmTeI",
  "functional": "PBE",
  "state": "optimized geometry",
  "cell": [[4.1715, 0.0000, 0.0000], [0.0000, 4.1715, 0.0000], [0.0000, 0.0000, 25.0256]],
  "species": ["Tm", "Tm", "Tm", "Tm", "Te", "Te", "Te", "Te", "I", "I", "I", "I"],
  "frac_coords": [[0.0000, 0.0000, 0.1655], [0.0000, 0.0000, 0.8345], [0.5000, 0.5000, 0.3345], [0.5000, 0.5000, 0.6655], [0.0000, 0.0000, 0.2937], [0.0000, 0.0000, 0.7063], [0.5000, 0.5000, 0.2063], [0.5000, 0.5000, 0.7937], [0.0000, 0.5000, 0.0758], [0.0000, 0.5000, 0.4242], [0.5000, 0.0000, 0.5758], [0.5000, 0.0000, 0.9242]],
  "vol_a3_per_cell": 435.5
}

ii:
{
  "formula": "TmTeI",
  "functional": "PBE",
  "state": "optimized geometry",
  "cell": [[4.3175, 0.0000, 0.0000], [-2.1588, 3.7391, 0.0000], [0.0000, 0.0000, 7.4195]],
  "species": ["Tm", "Te", "I"],
  "frac_coords": [[0.0000, 0.0000, 0.0000], [0.3333, 0.6667, 0.7855], [0.6667, 0.3333, 0.2634]],
  "vol_a3_per_cell": 119.8
}

iii:
{
  "formula": "TmTeI",
  "functional": "PBE",
  "state": "optimized geometry",
  "cell": [[3.7994, 0.0000, 0.0000], [0.0000, 3.7994, 0.0000], [0.0000, 0.0000, 14.6511]],
  "species": ["Tm", "Tm", "Te", "Te", "I", "I"],
  "frac_coords": [[0.0000, 0.0000, 0.0000], [0.5000, 0.5000, 0.5000], [0.0000, 0.0000, 0.6062], [0.5000, 0.5000, 0.1062], [0.0000, 0.0000, 0.3575], [0.5000, 0.5000, 0.8575]],
  "vol_a3_per_cell": 211.5
}

iv:
{
  "formula": "TmTeI",
  "functional": "PBE",
  "state": "optimized geometry",
  "cell": [[7.8579, 4.5367, 3.5230], [-7.8579, 4.5367, 3.5230], [0.0000, -9.0735, 3.5230]],
  "species": ["Tm", "Tm", "Tm", "Tm", "Tm", "Tm", "Te", "Te", "Te", "Te", "Te", "Te", "I", "I", "I", "I", "I", "I"],
  "frac_coords": [[0.1859, 0.5661, 0.7095], [0.2905, 0.8141, 0.4339], [0.4339, 0.2905, 0.8141], [0.5661, 0.7095, 0.1859], [0.7095, 0.1859, 0.5661], [0.8141, 0.4339, 0.2905], [0.1504, 0.4715, 0.3793], [0.3793, 0.1504, 0.4715], [0.4715, 0.3793, 0.1504], [0.5285, 0.6207, 0.8496], [0.6207, 0.8496, 0.5285], [0.8496, 0.5285, 0.6207], [0.0768, 0.2334, 0.7019], [0.2334, 0.7019, 0.0768], [0.2981, 0.9232, 0.7666], [0.7019, 0.0768, 0.2334], [0.7666, 0.2981, 0.9232], [0.9232, 0.7666, 0.2981]],
  "vol_a3_per_cell": 753.6
}

Most stable = ii

i:
{
  "formula": "UTeI2",
  "functional": "PBE",
  "state": "optimized geometry",
  "cell": [[4.6406, 0.0000, 0.0000], [0.0000, 4.0039, 0.0000], [-2.2926, 0.0000, 8.8721]],
  "species": ["U", "Te", "I", "I"],
  "frac_coords": [[0.0000, 0.0000, 0.0000], [0.5292, 0.5000, 0.0590], [0.1639, 0.0000, 0.3315], [0.8644, 0.5000, 0.7250]],
  "vol_a3_per_cell": 164.8
}

ii:
{
  "formula": "UTeI2",
  "functional": "PBE",
  "state": "optimized geometry",
  "cell": [[3.9655, 0.0000, 0.0000], [0.0000, 11.9886, 0.0000], [0.0000, 0.0000, 7.5772]],
  "species": ["U", "U", "Te", "Te", "I", "I", "I", "I"],
  "frac_coords": [[0.0000, 0.0000, 0.0000], [0.5000, 0.5000, 0.5000], [0.0000, 0.5000, 0.2097], [0.5000, 0.0000, 0.7097], [0.0000, 0.3325, 0.6736], [0.0000, 0.6675, 0.6736], [0.5000, 0.1675, 0.1736], [0.5000, 0.8325, 0.1736]],
  "vol_a3_per_cell": 360.2
}

Most stable = i

i:
{
  "formula": "UTeI",
  "functional": "PBE",
  "state": "optimized geometry",
  "cell": [[4.2344, 0.0000, 0.0000], [0.0000, 6.1300, 0.0000], [0.0000, 0.0000, 9.5566]],
  "species": ["U", "U", "Te", "Te", "I", "I"],
  "frac_coords": [[0.2500, 0.2500, 0.1128], [0.7500, 0.7500, 0.8872], [0.2500, 0.7500, 0.1238], [0.7500, 0.2500, 0.8762], [0.2500, 0.7500, 0.6495], [0.7500, 0.2500, 0.3505]],
  "vol_a3_per_cell": 248.1
}

ii:
{
  "formula": "UTeI",
  "functional": "PBE",
  "state": "optimized geometry",
  "cell": [[3.7763, 0.0000, 0.0000], [0.0000, 3.7763, 0.0000], [0.0000, 0.0000, 14.4535]],
  "species": ["U", "U", "Te", "Te", "I", "I"],
  "frac_coords": [[0.0000, 0.0000, 0.0000], [0.5000, 0.5000, 0.5000], [0.0000, 0.0000, 0.3837], [0.5000, 0.5000, 0.8837], [0.0000, 0.0000, 0.6374], [0.5000, 0.5000, 0.1374]],
  "vol_a3_per_cell": 206.1
}

iii:
{
  "formula": "UTeI",
  "functional": "PBE",
  "state": "optimized geometry",
  "cell": [[4.2543, 0.0000, 0.0000], [0.0000, 13.8126, 0.0000], [0.0000, 0.0000, 6.8596]],
  "species": ["U", "U", "U", "U", "Te", "Te", "Te", "Te", "I", "I", "I", "I"],
  "frac_coords": [[0.0000, 0.1333, 0.2500], [0.0000, 0.8667, 0.7500], [0.5000, 0.3667, 0.7500], [0.5000, 0.6333, 0.2500], [0.0000, 0.2085, 0.7500], [0.0000, 0.7915, 0.2500], [0.5000, 0.2915, 0.2500], [0.5000, 0.7085, 0.7500], [0.0000, 0.5000, 0.0000], [0.0000, 0.5000, 0.5000], [0.5000, 0.0000, 0.0000], [0.5000, 0.0000, 0.5000]],
  "vol_a3_per_cell": 403.1
}

iv:
{
  "formula": "UTeI",
  "functional": "PBE",
  "state": "optimized geometry",
  "cell": [[5.2561, 0.0000, 0.0000], [-2.6281, 4.5519, 0.0000], [0.0000, 0.0000, 3.8708]],
  "species": ["U", "Te", "I"],
  "frac_coords": [[0.0000, 0.0000, 0.0000], [0.6667, 0.3333, 0.5021], [0.3333, 0.6667, 0.0062]],
  "vol_a3_per_cell": 92.6
}

Most stable = i

i:
{
  "formula": "UTe2I",
  "functional": "PBE",
  "state": "optimized geometry",
  "cell": [[7.6173, 0.0000, 0.0000], [0.0000, 4.3829, 0.0000], [-2.3428, 0.0000, 9.5647]],
  "species": ["U", "U", "Te", "Te", "Te", "Te", "I", "I"],
  "frac_coords": [[0.0000, 0.0000, 0.0000], [0.5000, 0.5000, 0.0000], [0.1117, 0.5000, 0.8173], [0.3883, 0.0000, 0.1827], [0.6117, 0.0000, 0.8173], [0.8883, 0.5000, 0.1827], [0.0000, 0.5000, 0.5000], [0.5000, 0.0000, 0.5000]],
  "vol_a3_per_cell": 319.3
}

ii:
{
  "formula": "UTe2I",
  "functional": "PBE",
  "state": "optimized geometry",
  "cell": [[4.1386, 0.0000, 0.0000], [-2.0693, 3.5841, 0.0000], [0.0000, 0.0000, 31.0526]],
  "species": ["U", "U", "U", "Te", "Te", "Te", "Te", "Te", "Te", "I", "I", "I"],
  "frac_coords": [[0.0000, 0.0000, 0.0000], [0.3333, 0.6667, 0.6667], [0.6667, 0.3333, 0.3333], [0.0000, 0.0000, 0.2737], [0.0000, 0.0000, 0.7263], [0.3333, 0.6667, 0.3930], [0.3333, 0.6667, 0.9404], [0.6667, 0.3333, 0.0596], [0.6667, 0.3333, 0.6070], [0.0000, 0.0000, 0.5000], [0.3333, 0.6667, 0.1667], [0.6667, 0.3333, 0.8333]],
  "vol_a3_per_cell": 460.6
}

Most stable = i

i:
{
  "formula": "VTeI",
  "functional": "PBE",
  "state": "optimized geometry",
  "cell": [[8.0915, 4.6716, 2.3193], [-8.0915, 4.6716, 2.3193], [0.0000, -9.3432, 2.3193]],
  "species": ["V", "V", "V", "V", "V", "V", "Te", "Te", "Te", "Te", "Te", "Te", "I", "I", "I", "I", "I", "I"],
  "frac_coords": [[0.0931, 0.3241, 0.6829], [0.3171, 0.9069, 0.6759], [0.3241, 0.6829, 0.0931], [0.6759, 0.3171, 0.9069], [0.6829, 0.0931, 0.3241], [0.9069, 0.6759, 0.3171], [0.1356, 0.6116, 0.2787], [0.2787, 0.1356, 0.6116], [0.3884, 0.7213, 0.8644], [0.6116, 0.2787, 0.1356], [0.7213, 0.8644, 0.3884], [0.8644, 0.3884, 0.7213], [0.0113, 0.7844, 0.6754], [0.2156, 0.3246, 0.9887], [0.3246, 0.9887, 0.2156], [0.6754, 0.0113, 0.7844], [0.7844, 0.6754, 0.0113], [0.9887, 0.2156, 0.3246]],
  "vol_a3_per_cell": 526.0
}

ii:
{
  "formula": "VTeI",
  "functional": "PBE",
  "state": "optimized geometry",
  "cell": [[6.6311, 0.0000, 0.0000], [0.0000, 3.9495, 0.0000], [-0.1287, 0.0000, 7.2128]],
  "species": ["V", "V", "Te", "Te", "I", "I"],
  "frac_coords": [[0.2048, 0.2500, 0.4965], [0.7952, 0.7500, 0.5035], [0.0847, 0.7500, 0.2568], [0.9153, 0.2500, 0.7432], [0.4187, 0.7500, 0.7074], [0.5813, 0.2500, 0.2926]],
  "vol_a3_per_cell": 188.9
}

iii:
{
  "formula": "VTeI",
  "functional": "PBE",
  "state": "optimized geometry",
  "cell": [[3.9856, 0.0000, 0.0000], [0.5109, 7.4367, 0.0000], [0.9915, 2.2539, 7.9720]],
  "species": ["V", "V", "Te", "Te", "I", "I"],
  "frac_coords": [[0.2247, 0.4763, 0.3904], [0.7753, 0.5237, 0.6096], [0.2838, 0.2856, 0.7033], [0.7162, 0.7144, 0.2967], [0.1683, 0.2309, 0.2375], [0.8317, 0.7691, 0.7625]],
  "vol_a3_per_cell": 236.3
}

Most stable = ii

i:
{
  "formula": "VTeI",
  "functional": "PBE",
  "state": "optimized geometry",
  "cell": [[3.9534, 0.0000, 0.0000], [-1.9767, 3.4238, 0.0000], [0.0000, 0.0000, 6.8359]],
  "species": ["V", "Te", "I"],
  "frac_coords": [[0.0000, 0.0000, 0.0000], [0.3333, 0.6667, 0.7845], [0.6667, 0.3333, 0.2527]],
  "vol_a3_per_cell": 92.5
}

ii:
{
  "formula": "VTeI",
  "functional": "PBE",
  "state": "optimized geometry",
  "cell": [[3.3449, 0.0000, 0.0000], [0.0000, 3.3449, 0.0000], [0.0000, 0.0000, 14.2266]],
  "species": ["V", "V", "Te", "Te", "I", "I"],
  "frac_coords": [[0.0000, 0.0000, 0.0000], [0.5000, 0.5000, 0.5000], [0.0000, 0.0000, 0.3872], [0.5000, 0.5000, 0.8872], [0.0000, 0.0000, 0.6217], [0.5000, 0.5000, 0.1217]],
  "vol_a3_per_cell": 159.2
}

Most stable = i

i:
{
  "formula": "VTeI2",
  "functional": "PBE",
  "state": "optimized geometry",
  "cell": [[3.8125, 0.0000, 0.0000], [-1.9063, 3.3017, 0.0000], [0.0000, 0.0000, 35.5191]],
  "species": ["V", "V", "V", "Te", "Te", "Te", "I", "I", "I", "I", "I", "I"],
  "frac_coords": [[0.0000, 0.0000, 0.0000], [0.3333, 0.6667, 0.6667], [0.6667, 0.3333, 0.3333], [0.0000, 0.0000, 0.5000], [0.3333, 0.6667, 0.1667], [0.6667, 0.3333, 0.8333], [0.0000, 0.0000, 0.3812], [0.0000, 0.0000, 0.6188], [0.3333, 0.6667, 0.0478], [0.3333, 0.6667, 0.2855], [0.6667, 0.3333, 0.7145], [0.6667, 0.3333, 0.9522]],
  "vol_a3_per_cell": 447.1
}

ii:
{
  "formula": "VTeI2",
  "functional": "PBE",
  "state": "optimized geometry",
  "cell": [[7.6629, 0.0000, 0.0000], [0.0000, 7.6629, 0.0000], [0.0000, 0.0000, 7.6629]],
  "species": ["V", "V", "V", "V", "Te", "Te", "Te", "Te", "I", "I", "I", "I", "I", "I", "I", "I"],
  "frac_coords": [[0.0000, 0.0000, 0.0000], [0.0000, 0.5000, 0.5000], [0.5000, 0.0000, 0.5000], [0.5000, 0.5000, 0.0000], [0.0000, 0.0000, 0.5000], [0.0000, 0.5000, 0.0000], [0.5000, 0.0000, 0.0000], [0.5000, 0.5000, 0.5000], [0.2500, 0.2500, 0.2500], [0.2500, 0.2500, 0.7500], [0.2500, 0.7500, 0.2500], [0.2500, 0.7500, 0.7500], [0.7500, 0.2500, 0.2500], [0.7500, 0.2500, 0.7500], [0.7500, 0.7500, 0.2500], [0.7500, 0.7500, 0.7500]],
  "vol_a3_per_cell": 450.0
}

Most stable = i

i:
{
  "formula": "VTe3I",
  "functional": "PBE",
  "state": "optimized geometry",
  "cell": [[5.2467, 0.0000, 0.0000], [0.0000, 5.2467, 0.0000], [0.0000, 0.0000, 5.2467]],
  "species": ["V", "Te", "Te", "Te", "I"],
  "frac_coords": [[0.0000, 0.0000, 0.0000], [0.0000, 0.0000, 0.5000], [0.0000, 0.5000, 0.0000], [0.5000, 0.0000, 0.0000], [0.5000, 0.5000, 0.5000]],
  "vol_a3_per_cell": 144.4
}

ii:
{
  "formula": "VTe3I",
  "functional": "PBE",
  "state": "optimized geometry",
  "cell": [[4.0610, -7.0253, 0.0000], [4.0610, 7.0253, 0.0000], [0.0000, 0.0000, 5.5219]],
  "species": ["V", "V", "Te", "Te", "Te", "Te", "Te", "Te", "I", "I"],
  "frac_coords": [[0.0000, 0.0000, 0.0000], [0.0000, 0.0000, 0.5000], [0.1600, 0.3202, 0.7500], [0.1603, 0.8397, 0.7500], [0.3202, 0.1600, 0.2500], [0.6798, 0.8400, 0.7500], [0.8397, 0.1603, 0.2500], [0.8400, 0.6798, 0.2500], [0.3336, 0.6664, 0.2500], [0.6664, 0.3336, 0.7500]],
  "vol_a3_per_cell": 315.1
}

iii:
{
  "formula": "VTe3I",
  "functional": "PBE",
  "state": "optimized geometry",
  "cell": [[5.7924, 0.0000, 0.0000], [0.0000, 5.7924, 0.0000], [0.0000, 0.0000, 5.7924]],
  "species": ["V", "Te", "Te", "Te", "I"],
  "frac_coords": [[0.0000, 0.0000, 0.0000], [0.0000, 0.5000, 0.5000], [0.5000, 0.0000, 0.5000], [0.5000, 0.5000, 0.0000], [0.5000, 0.5000, 0.5000]],
  "vol_a3_per_cell": 194.3
}

Most stable = ii

i:
{
  "formula": "Te3WI",
  "functional": "PBE",
  "state": "optimized geometry",
  "cell": [[5.3376, 0.0000, 0.0000], [0.0000, 5.3376, 0.0000], [0.0000, 0.0000, 5.3376]],
  "species": ["Te", "Te", "Te", "W", "I"],
  "frac_coords": [[0.0000, 0.0000, 0.5000], [0.0000, 0.5000, 0.0000], [0.5000, 0.0000, 0.0000], [0.0000, 0.0000, 0.0000], [0.5000, 0.5000, 0.5000]],
  "vol_a3_per_cell": 152.1
}

ii:
{
  "formula": "Te3WI",
  "functional": "PBE",
  "state": "optimized geometry",
  "cell": [[5.7698, 0.0000, 0.0000], [0.0000, 5.7698, 0.0000], [0.0000, 0.0000, 5.7698]],
  "species": ["Te", "Te", "Te", "W", "I"],
  "frac_coords": [[0.0000, 0.0000, 0.5000], [0.0000, 0.5000, 0.0000], [0.5000, 0.0000, 0.0000], [0.5000, 0.5000, 0.5000], [0.0000, 0.0000, 0.0000]],
  "vol_a3_per_cell": 192.1
}

Most stable = i

i:
{
  "formula": "ZnTeWI2",
  "functional": "PBE",
  "state": "optimized geometry",
  "cell": [[5.3534, 0.0000, 0.0000], [0.0000, 5.3534, 0.0000], [0.0000, 0.0000, 5.5325]],
  "species": ["Zn", "Te", "W", "I", "I"],
  "frac_coords": [[0.0000, 0.0000, 0.0000], [0.0000, 0.0000, 0.5000], [0.5000, 0.5000, 0.5000], [0.0000, 0.5000, 0.0000], [0.5000, 0.0000, 0.0000]],
  "vol_a3_per_cell": 158.6
}

ii:
{
  "formula": "ZnTeWI2",
  "functional": "PBE",
  "state": "optimized geometry",
  "cell": [[5.7049, 0.0000, 0.0000], [0.0000, 5.7049, 0.0000], [0.0000, 0.0000, 5.2272]],
  "species": ["Zn", "Te", "W", "I", "I"],
  "frac_coords": [[0.0000, 0.0000, 0.0000], [0.5000, 0.5000, 0.0000], [0.5000, 0.5000, 0.5000], [0.0000, 0.5000, 0.5000], [0.5000, 0.0000, 0.5000]],
  "vol_a3_per_cell": 170.1
}

Most stable = ii